Record 1
First-principles (GGA-PBE) data for CaSb2Os after structural relaxation, as listed in Alexandria.

- E above lowest polymorph: 385 meV per atom

Cell: 4.5885 4.5885 4.0733 Å, 90.00 90.00 90.17°
Last column: nearest neighbours and their distance in Å.
Fractional positions:
Ca: 0.0000 0.0000 0.0000  8 Sb 3.07, 4 Os 3.24-3.25
Sb: 0.0000 0.5000 0.5000  4 Ca 3.07, 4 Os 3.07, 4 Sb 3.24-3.25
Sb: 0.5000 0.0000 0.5000  4 Ca 3.07, 4 Os 3.07, 4 Sb 3.24-3.25
Os: 0.5000 0.5000 0.0000  8 Sb 3.07, 4 Ca 3.24-3.25



Record 2
First-principles (GGA-PBE) data for CaSbOs after structural relaxation, as listed in Alexandria.

Cell: 6.3152 6.3152 6.3152 Å, 149.24 149.24 44.06°
Last column: nearest neighbours and their distance in Å.
Fractional positions:
Ca: 0.0000 0.0000 0.0000  4 Os 3.15, 4 Ca 3.35, 5 Sb 3.38-3.42
Sb: 0.7110 0.7110 0.0000  4 Os 2.70
Os: 0.3223 0.3223 0.0000  4 Sb 2.70



Record 3
First-principles (GGA-PBE) data for CaSb2Os after structural relaxation, as listed in Alexandria.

- E above lowest polymorph: 175 meV per atom

Cell: 6.5575 6.5575 6.5575 Å, 103.15 103.15 123.03°
Last column: nearest neighbours and their distance in Å.
Fractional positions:
Ca: 0.0000 0.0000 0.0000  2 Os 3.13, 8 Sb 3.42-3.43
Ca: 0.7500 0.2500 0.5000  2 Os 3.13, 8 Sb 3.42-3.43
Sb: 0.1993 0.6250 0.0743  2 Os 2.61
Sb: 0.3750 0.4493 0.5743  2 Os 2.61
Sb: 0.5507 0.1250 0.9257  2 Os 2.61
Sb: 0.8750 0.8007 0.4257  2 Os 2.61
Os: 0.2500 0.7500 0.5000  4 Sb 2.61
Os: 0.5000 0.5000 0.0000  4 Sb 2.61



Record 4
First-principles (GGA-PBE) data for CaSb2Os after structural relaxation, as listed in Alexandria.

- E above lowest polymorph: 219 meV per atom

Cell: 4.9270 4.9270 4.9270 Å, 60.00 60.00 60.00°
Last column: nearest neighbours and their distance in Å.
Fractional positions:
Ca: 0.0000 0.0000 0.0000  8 Sb 3.02
Sb: 0.2500 0.2500 0.2500  4 Os 3.02, 4 Ca 3.02
Sb: 0.7500 0.7500 0.7500  4 Os 3.02, 4 Ca 3.02
Os: 0.5000 0.5000 0.5000  8 Sb 3.02



Record 5
First-principles (GGA-PBE) data for CaSb2Os after structural relaxation, as listed in Alexandria.

- E above lowest polymorph: 147 meV per atom

Cell: 7.9437 7.9437 7.9437 Å, 155.14 152.64 37.30°
Last column: nearest neighbours and their distance in Å.
Fractional positions:
Ca: 0.0000 0.0000 0.0000  6 Sb 3.12-3.17, 2 Ca 3.42
Sb: 0.1732 0.6732 0.5000  4 Os 2.78, 2 Ca 3.12
Sb: 0.3739 0.3739 0.0000  2 Os 2.66
Os: 0.7487 0.2487 0.5000  6 Sb 2.66-2.78



Record 6
First-principles (GGA-PBE) data for CaSb2Os after structural relaxation, as listed in Alexandria.

- E above lowest polymorph: 150 meV per atom

Cell: 7.6278 7.6278 7.6278 Å, 155.30 148.57 40.38°
Last column: nearest neighbours and their distance in Å.
Fractional positions:
Ca: 0.0000 0.0000 0.0000  6 Sb 3.12-3.19, 2 Ca 3.26
Sb: 0.3738 0.3738 0.0000  2 Os 2.68
Sb: 0.6635 0.1635 0.5000  4 Os 2.78
Os: 0.2253 0.7253 0.5000  6 Sb 2.68-2.78



Values for calculated volume, A^3/atom, ordered as above
21.440, 21.898, 25.973, 21.143, 24.177, 24.128
Values for energy relative to the elements, uncorrected, eV per atom, ordered as above
0.21, -0.02, 0.00, 0.04, -0.03, -0.03